(1)
This record from Alexandria via LeMat-Bulk describes an optimized crystal structure of YLuAlPt. The functional is PBE-GGA.

The structure in CIF format:
```
data_YLuAlPt
_chemical_formula_sum 'Y1 Lu1 Al1 Pt1'
_cell_length_a 4.980
_cell_length_b 4.980
_cell_length_c 4.980
_cell_angle_alpha 60.00
_cell_angle_beta 60.00
_cell_angle_gamma 60.00
_space_group_name_H-M_alt 'P 1'
_space_group_IT_number 1
loop_
_space_group_symop_operation_xyz
'x,y,z'
loop_
_atom_site_label
_atom_site_type_symbol
_atom_site_fract_x
_atom_site_fract_y
_atom_site_fract_z
Y1 Y 0.000 0.000 0.000
Lu1 Lu 0.500 0.500 0.500
Al1 Al 0.750 0.750 0.750
Pt1 Pt 0.250 0.250 0.250
```

Output
SG: No. 216
Energy of formation in meV/atom: -765
Fermi-level density of states in states/eV/cell: 3.1


(2)
This record from Alexandria via LeMat-Bulk describes an optimized crystal structure of TlCd2Si2. The functional is PBE-GGA.

The structure in CIF format:
```
data_TlCd2Si2
_chemical_formula_sum 'Tl1 Cd2 Si2'
_cell_length_a 3.486
_cell_length_b 3.486
_cell_length_c 9.645
_cell_angle_alpha 79.59
_cell_angle_beta 79.59
_cell_angle_gamma 90.00
_space_group_name_H-M_alt 'P 1'
_space_group_IT_number 1
loop_
_space_group_symop_operation_xyz
'x,y,z'
loop_
_atom_site_label
_atom_site_type_symbol
_atom_site_fract_x
_atom_site_fract_y
_atom_site_fract_z
Tl1 Tl 0.000 0.000 0.000
Si1 Si 0.750 0.250 0.500
Si2 Si 0.250 0.750 0.500
Cd1 Cd 0.381 0.381 0.238
Cd2 Cd 0.619 0.619 0.762
```

Output
Formation energy from raw total energies in eV per formula unit: 1.23
Excess energy over the best structure of this formula in the dataset in meV/atom: 13
SG: No. 139
Fermi-level density of states in states/eV/cell: 1.9


(3)
This record from Alexandria via LeMat-Bulk describes an optimized crystal structure of TePAuO2. The functional is PBE-GGA.

The structure in CIF format:
```
data_TePAuO2
_chemical_formula_sum 'Te1 P1 Au1 O2'
_cell_length_a 3.884
_cell_length_b 3.884
_cell_length_c 5.530
_cell_angle_alpha 90.00
_cell_angle_beta 90.00
_cell_angle_gamma 90.00
_space_group_name_H-M_alt 'P 1'
_space_group_IT_number 1
loop_
_space_group_symop_operation_xyz
'x,y,z'
loop_
_atom_site_label
_atom_site_type_symbol
_atom_site_fract_x
_atom_site_fract_y
_atom_site_fract_z
P1 P 0.000 0.000 0.500
Te1 Te 0.000 0.000 0.000
Au1 Au 0.500 0.500 0.500
O1 O 0.000 0.500 0.000
O2 O 0.500 0.000 0.000
```

Output
Formation energy from raw total energies in eV per formula unit: -0.46
Excess energy over the best structure of this formula in the dataset in meV/atom: 0
SG: No. 123
Fermi-level density of states in states/eV/cell: 2.3


(4)
This record from Alexandria via LeMat-Bulk describes an optimized crystal structure of Dy2Ga4Ni3Pd. The functional is PBE-GGA.

The structure in CIF format:
```
data_Dy2Ga4Ni3Pd
_chemical_formula_sum 'Dy2 Ga4 Ni3 Pd1'
_cell_length_a 3.987
_cell_length_b 3.987
_cell_length_c 10.601
_cell_angle_alpha 90.00
_cell_angle_beta 90.00
_cell_angle_gamma 90.00
_space_group_name_H-M_alt 'P 1'
_space_group_IT_number 1
loop_
_space_group_symop_operation_xyz
'x,y,z'
loop_
_atom_site_label
_atom_site_type_symbol
_atom_site_fract_x
_atom_site_fract_y
_atom_site_fract_z
Dy1 Dy 0.500 0.000 0.237
Dy2 Dy 0.000 0.500 0.763
Ga1 Ga 0.500 0.500 0.000
Ga2 Ga 0.000 0.000 0.000
Ga3 Ga 0.500 0.000 0.641
Ga4 Ga 0.000 0.500 0.359
Ni1 Ni 0.000 0.000 0.500
Ni2 Ni 0.500 0.000 0.865
Ni3 Ni 0.000 0.500 0.135
Pd1 Pd 0.500 0.500 0.500
```

Output
SG: No. 115
Energy of formation in meV/atom: -634
Fermi-level density of states in states/eV/cell: 5.0


(5)
This record from Alexandria via LeMat-Bulk describes an optimized crystal structure of DyMnFeB3. The functional is PBE-GGA.

The structure in CIF format:
```
data_DyMnFeB3
_chemical_formula_sum 'Dy2 Mn2 Fe2 B6'
_cell_length_a 5.493
_cell_length_b 5.314
_cell_length_c 5.450
_cell_angle_alpha 119.18
_cell_angle_beta 90.00
_cell_angle_gamma 90.00
_space_group_name_H-M_alt 'P 1'
_space_group_IT_number 1
loop_
_space_group_symop_operation_xyz
'x,y,z'
loop_
_atom_site_label
_atom_site_type_symbol
_atom_site_fract_x
_atom_site_fract_y
_atom_site_fract_z
Dy1 Dy 0.750 0.256 0.513
Dy2 Dy 0.250 0.744 0.487
Mn1 Mn 0.250 0.045 0.091
Mn2 Mn 0.750 0.955 0.909
Fe1 Fe 0.250 0.437 0.874
Fe2 Fe 0.750 0.563 0.126
B1 B 0.250 0.241 0.481
B2 B 0.000 0.262 0.000
B3 B 0.500 0.738 0.000
B4 B 0.500 0.262 0.000
B5 B 0.000 0.738 0.000
B6 B 0.750 0.759 0.519
```

Output
SG: No. 63
Energy of formation in meV/atom: -248
Fermi-level density of states in states/eV/cell: 4.8


(6)
This record from Alexandria via LeMat-Bulk describes an optimized crystal structure of Rb4Nd3TiTe8. The functional is PBE-GGA.

The structure in CIF format:
```
data_Rb4Nd3TiTe8
_chemical_formula_sum 'Rb4 Nd3 Ti1 Te8'
_cell_length_a 9.092
_cell_length_b 10.044
_cell_length_c 9.092
_cell_angle_alpha 116.91
_cell_angle_beta 120.00
_cell_angle_gamma 90.00
_space_group_name_H-M_alt 'P 1'
_space_group_IT_number 1
loop_
_space_group_symop_operation_xyz
'x,y,z'
loop_
_atom_site_label
_atom_site_type_symbol
_atom_site_fract_x
_atom_site_fract_y
_atom_site_fract_z
Rb1 Rb 0.500 0.000 0.000
Rb2 Rb 0.500 0.000 0.500
Rb3 Rb 0.000 0.000 0.000
Rb4 Rb 0.000 0.000 0.500
Nd1 Nd 0.500 0.500 0.000
Nd2 Nd 0.500 0.500 0.500
Nd3 Nd 0.000 0.500 0.500
Ti1 Ti 0.000 0.500 0.000
Te1 Te 0.220 0.696 0.976
Te2 Te 0.220 0.696 0.440
Te3 Te 0.264 0.291 0.527
Te4 Te 0.756 0.696 0.976
Te5 Te 0.244 0.304 0.024
Te6 Te 0.736 0.709 0.473
Te7 Te 0.780 0.304 0.560
Te8 Te 0.780 0.304 0.024
```

Output
Formation energy from raw total energies in eV per formula unit: -19.58
SG: No. 166
Fermi-level density of states in states/eV/cell: 6.1